Record 1
{
  "formula": "Sm2MnNi3Pt12",
  "functional": "PBE",
  "state": "optimized geometry",
  "lattice": [[3.367, 1.944, 8.520], [-3.367, 1.944, 8.520], [0.000, -3.888, 8.520]],
  "species": ["Sm", "Sm", "Mn", "Ni", "Ni", "Ni", "Pt", "Pt", "Pt", "Pt", "Pt", "Pt", "Pt", "Pt", "Pt", "Pt", "Pt", "Pt"],
  "frac_coords": [[0.157, 0.157, 0.157], [0.843, 0.843, 0.843], [0.500, 0.500, 0.500], [0.000, 0.500, 0.500], [0.500, 0.000, 0.500], [0.500, 0.500, 0.000], [0.086, 0.086, 0.685], [0.086, 0.685, 0.086], [0.146, 0.574, 0.574], [0.315, 0.914, 0.914], [0.426, 0.426, 0.854], [0.426, 0.854, 0.426], [0.574, 0.146, 0.574], [0.574, 0.574, 0.146], [0.685, 0.086, 0.086], [0.854, 0.426, 0.426], [0.914, 0.315, 0.914], [0.914, 0.914, 0.315]],
  "dos_ef_per_ev_cell": 19.97,
  "space_group": "R-3m, No. 166",
  "e_form_ev_per_fu": -1.90,
  "energy_ev_per_atom": -6.130
}

Record 2
{
  "formula": "MnNi7Sn2Pt2",
  "functional": "PBE",
  "state": "optimized geometry",
  "lattice": [[2.456, -2.456, 0.000], [2.456, 2.456, 0.000], [-2.442, 0.000, 13.990]],
  "species": ["Mn", "Ni", "Ni", "Ni", "Ni", "Ni", "Ni", "Ni", "Sn", "Sn", "Pt", "Pt"],
  "frac_coords": [[0.000, 0.000, 0.000], [0.064, 0.564, 0.129], [0.271, 0.271, 0.542], [0.436, 0.936, 0.871], [0.500, 0.500, 0.000], [0.564, 0.064, 0.129], [0.729, 0.729, 0.458], [0.936, 0.436, 0.871], [0.180, 0.180, 0.362], [0.820, 0.820, 0.638], [0.368, 0.368, 0.733], [0.632, 0.632, 0.267]],
  "dos_ef_per_ev_cell": 12.40,
  "space_group": "C2/m, No. 12",
  "e_form_ev_per_fu": -0.89,
  "energy_ev_per_atom": -5.885
}

Record 3
{
  "formula": "MnNiSnPt",
  "functional": "PBE",
  "state": "optimized geometry",
  "lattice": [[-2.070, 2.070, 3.597], [2.070, -2.070, 3.597], [2.070, 2.070, -3.597]],
  "species": ["Mn", "Ni", "Sn", "Pt"],
  "frac_coords": [[0.000, 0.000, 0.000], [0.750, 0.250, 0.500], [0.500, 0.500, 0.000], [0.250, 0.750, 0.500]],
  "dos_ef_per_ev_cell": 3.13,
  "space_group": "I-4m2, No. 119",
  "e_form_ev_per_fu": -1.08,
  "energy_ev_per_atom": -6.518
}

Record 4
{
  "formula": "TaMnNiPt",
  "functional": "PBE",
  "state": "optimized geometry",
  "lattice": [[3.702, 0.000, 0.000], [0.000, 3.821, 0.000], [0.000, 0.000, 3.943]],
  "species": ["Ta", "Mn", "Ni", "Pt"],
  "frac_coords": [[0.000, 0.000, 0.000], [0.500, 0.500, 0.000], [0.500, 0.000, 0.500], [0.000, 0.500, 0.500]],
  "dos_ef_per_ev_cell": 1.60,
  "space_group": "Pmmm, No. 47",
  "e_form_ev_per_fu": -1.68,
  "energy_ev_per_atom": -8.631
}

Record 5
{
  "formula": "MnTcNiPt",
  "functional": "PBE",
  "state": "optimized geometry",
  "lattice": [[0.000, 2.994, 2.994], [2.994, 0.000, 2.994], [2.994, 2.994, 0.000]],
  "species": ["Mn", "Tc", "Ni", "Pt"],
  "frac_coords": [[0.000, 0.000, 0.000], [0.250, 0.250, 0.250], [0.500, 0.500, 0.500], [0.750, 0.750, 0.750]],
  "dos_ef_per_ev_cell": 5.32,
  "space_group": "F-43m, No. 216",
  "e_form_ev_per_fu": -0.10,
  "energy_ev_per_atom": -7.865
}

Record 6
{
  "formula": "Ti5Mn2NiPt2",
  "functional": "PBE",
  "state": "optimized geometry",
  "lattice": [[10.053, 0.000, 0.000], [0.000, 10.053, 0.000], [0.000, 0.000, 2.937]],
  "species": ["Ti", "Ti", "Ti", "Ti", "Ti", "Ti", "Ti", "Ti", "Ti", "Ti", "Mn", "Mn", "Mn", "Mn", "Ni", "Ni", "Pt", "Pt", "Pt", "Pt"],
  "frac_coords": [[0.000, 0.500, 0.000], [0.085, 0.194, 0.000], [0.194, 0.915, 0.000], [0.306, 0.415, 0.000], [0.415, 0.694, 0.000], [0.500, 0.000, 0.000], [0.585, 0.306, 0.000], [0.694, 0.585, 0.000], [0.806, 0.085, 0.000], [0.915, 0.806, 0.000], [0.131, 0.369, 0.500], [0.369, 0.869, 0.500], [0.631, 0.131, 0.500], [0.869, 0.631, 0.500], [0.000, 0.000, 0.500], [0.500, 0.500, 0.500], [0.168, 0.668, 0.500], [0.332, 0.168, 0.500], [0.668, 0.832, 0.500], [0.832, 0.332, 0.500]],
  "dos_ef_per_ev_cell": 21.04,
  "space_group": "P4/mbm, No. 127",
  "e_form_ev_per_fu": -2.93,
  "energy_ev_per_atom": -7.861
}